1.
The following is a DFT calculation (PBE) of a relaxed structure of Sm3Al2In.

- raw total energy (eV/atom) = -4.47
- space group = P4/mmm
- volume (Å³/atom) = 26.02
- E above lowest polymorph (eV per formula unit) = 0.00
- DFT formation energy (eV/atom) = -0.408
- DOS(E_F) (states/eV per atom) = 0.53

Cell: 3.7122 3.7122 11.3280 Å, 90.00 90.00 90.00°
Closest atoms and distances in Å follow each position.
Element x y z (fractional)
Sm1 0.0000 0.0000 0.0000  8 Al 3.20
Sm2 0.0000 0.0000 0.3225  4 Al 3.20, 4 In 3.31
Sm3 0.0000 0.0000 0.6775  4 Al 3.20, 4 In 3.31
Al1 0.5000 0.5000 0.1610  8 Sm 3.20
Al2 0.5000 0.5000 0.8390  8 Sm 3.20
In1 0.5000 0.5000 0.5000  8 Sm 3.31

2.
The following is a DFT calculation (PBE) of a relaxed structure of Y4Zn5Si6.

- raw total energy (eV/atom) = -4.82
- space group = Cmc2_1
- volume (Å³/atom) = 19.35
- energy relative to the elements, uncorrected (eV/atom) = -0.50
- DOS(E_F) (states/eV per atom) = 0.11

Cell: 9.3932 9.3932 15.1576 Å, 90.00 90.00 154.28°
Closest atoms and distances in Å follow each position.
Element x y z (fractional)
Y1 0.0182 0.9818 0.5000  7 Si 2.99-3.12, 3 Zn 3.09-3.20
Y2 0.0327 0.9673 0.7622  6 Si 2.97-3.06, 5 Zn 2.98-3.08
Y3 0.1679 0.8321 0.3042  6 Si 2.92-3.01, 1 Zn 3.26
Y4 0.1760 0.8240 0.9445  6 Si 2.88-2.96
Y5 0.8240 0.1760 0.4445  6 Si 2.88-2.96
Y6 0.8321 0.1679 0.8042  6 Si 2.92-3.01, 1 Zn 3.26
Y7 0.9673 0.0327 0.2622  6 Si 2.97-3.06, 5 Zn 2.98-3.08
Y8 0.9818 0.0182 0.0000  7 Si 2.99-3.12, 3 Zn 3.09-3.20
Zn1 0.1507 0.8493 0.6264  4 Si 2.46-2.58, 1 Zn 2.74
Zn2 0.3004 0.6996 0.6238  4 Si 2.51-2.62, 2 Zn 2.63-2.74
Zn3 0.3440 0.6560 0.2746  4 Si 2.46-2.72
Zn4 0.3506 0.6494 0.9778  4 Si 2.47-2.74
Zn5 0.4354 0.5646 0.6835  4 Si 2.48-2.59, 1 Zn 2.63
Zn6 0.5646 0.4354 0.1835  4 Si 2.48-2.59, 1 Zn 2.63
Zn7 0.6494 0.3506 0.4778  4 Si 2.47-2.74
Zn8 0.6560 0.3440 0.7746  4 Si 2.46-2.72
Zn9 0.6996 0.3004 0.1238  4 Si 2.51-2.62, 2 Zn 2.63-2.74
Zn10 0.8493 0.1507 0.1264  4 Si 2.46-2.58, 1 Zn 2.74
Si1 0.1131 0.8869 0.1185  4 Zn 2.48-2.62
Si2 0.2206 0.7794 0.4881  4 Zn 2.46-2.52
Si3 0.2259 0.7741 0.7626  4 Zn 2.46-2.51
Si4 0.4316 0.5684 0.1294  5 Zn 2.57-2.74
Si5 0.4332 0.5668 0.4033  1 Si 2.38, 1 Zn 2.54
Si6 0.4432 0.5568 0.8543  1 Si 2.38, 2 Zn 2.53-2.59
Si7 0.5568 0.4432 0.3543  1 Si 2.38, 2 Zn 2.53-2.59
Si8 0.5668 0.4332 0.9033  1 Si 2.38, 1 Zn 2.54
Si9 0.5684 0.4316 0.6294  5 Zn 2.57-2.74
Si10 0.7741 0.2259 0.2626  4 Zn 2.46-2.51
Si11 0.7794 0.2206 0.9881  4 Zn 2.46-2.52
Si12 0.8869 0.1131 0.6185  4 Zn 2.48-2.62

3.
The following is a DFT calculation (PBE) of a relaxed structure of TbTm5Pd4.

- raw total energy (eV/atom) = -5.51
- space group = P4/mmm
- volume (Å³/atom) = 22.85
- DFT formation energy (eV/atom) = -0.736
- DOS(E_F) (states/eV per atom) = 0.91

Cell: 3.4764 3.4764 18.9078 Å, 90.00 90.00 90.00°
Closest atoms and distances in Å follow each position.
Element x y z (fractional)
Tb1 0.0000 0.0000 0.0000  4 Tb 3.48, 8 Tm 3.56
Tm1 0.5000 0.5000 0.1363  4 Pd 2.98
Tm2 0.5000 0.5000 0.3169  8 Pd 3.00-3.01
Tm3 0.5000 0.5000 0.5000  8 Pd 3.02
Tm4 0.5000 0.5000 0.6831  8 Pd 3.00-3.01
Tm5 0.5000 0.5000 0.8637  4 Pd 2.98
Pd1 0.0000 0.0000 0.2252  8 Tm 2.98-3.01
Pd2 0.0000 0.0000 0.4076  8 Tm 3.00-3.02
Pd3 0.0000 0.0000 0.5924  8 Tm 3.00-3.02
Pd4 0.0000 0.0000 0.7748  8 Tm 2.98-3.01